The following is a PBE-GGA calculation of crystalline Tb5ErTm2 at its relaxed geometry, from the Alexandria database.

Cell lengths 7.060, 14.120, 4.983 Å; angles 90.00, 90.00, 90.00 degrees
Positions (direct):
Tb (0.000, 0.000, 0.000)
Tb (0.000, 0.250, 0.000)
Tb (0.000, 0.750, 0.000)
Tb (0.250, 0.125, 0.500)
Tb (0.250, 0.625, 0.500)
Tb (0.500, 0.250, 0.000)
Tb (0.500, 0.500, 0.000)
Tb (0.500, 0.750, 0.000)
Tb (0.750, 0.375, 0.500)
Tb (0.750, 0.875, 0.500)
Er (0.000, 0.500, 0.000)
Er (0.500, 0.000, 0.000)
Tm (0.250, 0.375, 0.500)
Tm (0.250, 0.875, 0.500)
Tm (0.750, 0.125, 0.500)
Tm (0.750, 0.625, 0.500)

## Properties
Formation energy ... 17 meV per atom
Distance to the lowest polymorph of the same formula ... 0 meV/atom

***

The following is a PBE-GGA calculation of crystalline KCrSe2 at its relaxed geometry, from the Alexandria database.

Cell lengths 5.014, 5.014, 5.014 Å; angles 60.00, 60.00, 60.00 degrees
Positions (direct):
K (0.000, 0.000, 0.000)
Cr (0.500, 0.500, 0.500)
Se (0.250, 0.250, 0.250)
Se (0.750, 0.750, 0.750)

## Properties
E_form (uncorrected) ... -0.1555 eV/atom

***

The following is a PBE-GGA calculation of crystalline La8BS3Br4 at its relaxed geometry, from the Alexandria database.

Cell lengths 8.785, 8.785, 8.785 Å; angles 56.68, 56.68, 56.68 degrees
Positions (direct):
La (0.236, 0.236, 0.236)
La (0.249, 0.726, 0.726)
La (0.274, 0.274, 0.751)
La (0.274, 0.751, 0.274)
La (0.726, 0.249, 0.726)
La (0.726, 0.726, 0.249)
La (0.751, 0.274, 0.274)
La (0.764, 0.764, 0.764)
B (0.500, 0.500, 0.500)
S (0.000, 0.000, 0.500)
S (0.000, 0.500, 0.000)
S (0.500, 0.000, 0.000)
Br (0.000, 0.000, 0.000)
Br (0.000, 0.500, 0.500)
Br (0.500, 0.000, 0.500)
Br (0.500, 0.500, 0.000)

## Properties
E_form (uncorrected) ... -1.5430 eV/atom

***

The following is a PBE-GGA calculation of crystalline Tb2Y2InGa4 at its relaxed geometry, from the Alexandria database.

Cell lengths 6.795, 6.795, 6.795 Å; angles 116.97, 116.97, 95.33 degrees
Positions (direct):
Tb (0.185, 0.185, 0.000)
Tb (0.815, 0.815, 0.000)
Y (0.250, 0.750, 0.500)
Y (0.750, 0.250, 0.500)
In (0.500, 0.500, 0.000)
Ga (0.239, 0.239, 0.478)
Ga (0.239, 0.761, 0.000)
Ga (0.761, 0.239, 0.000)
Ga (0.761, 0.761, 0.522)

## Properties
Formation energy ... -169 meV per atom

***

The following is a PBE-GGA calculation of crystalline Ac3GePb at its relaxed geometry, from the Alexandria database.

Cell lengths 8.699, 4.811, 9.529 Å; angles 90.00, 96.68, 90.00 degrees
Positions (direct):
Ac (0.068, 0.250, 0.314)
Ac (0.303, 0.250, 0.955)
Ac (0.401, 0.750, 0.618)
Ac (0.599, 0.250, 0.382)
Ac (0.697, 0.750, 0.045)
Ac (0.932, 0.750, 0.686)
Ge (0.170, 0.250, 0.638)
Ge (0.830, 0.750, 0.362)
Pb (0.341, 0.750, 0.216)
Pb (0.659, 0.250, 0.784)

## Properties
Formation energy ... -495 meV per atom
Distance to the lowest polymorph of the same formula ... 69 meV/atom

***

The following is a PBE-GGA calculation of crystalline AsIr2W at its relaxed geometry, from the Alexandria database.

Cell lengths 8.815, 8.815, 8.815 Å; angles 18.63, 18.63, 18.63 degrees
Positions (direct):
As (0.000, 0.000, 0.000)
Ir (0.252, 0.252, 0.252)
Ir (0.748, 0.748, 0.748)
W (0.500, 0.500, 0.500)

## Properties
Formation energy ... 14 meV per atom

***

The following is a PBE-GGA calculation of crystalline Sm2Al5Pd2Pt at its relaxed geometry, from the Alexandria database.

Cell lengths 10.000, 10.000, 3.773 Å; angles 90.00, 90.00, 90.00 degrees
Positions (direct):
Sm (0.187, 0.313, 0.000)
Sm (0.313, 0.813, 0.000)
Sm (0.687, 0.187, 0.000)
Sm (0.813, 0.687, 0.000)
Al (0.000, 0.500, 0.500)
Al (0.046, 0.807, 0.500)
Al (0.193, 0.046, 0.500)
Al (0.307, 0.546, 0.500)
Al (0.454, 0.307, 0.500)
Al (0.500, 0.000, 0.500)
Al (0.546, 0.693, 0.500)
Al (0.693, 0.454, 0.500)
Al (0.807, 0.954, 0.500)
Al (0.954, 0.193, 0.500)
Pd (0.114, 0.614, 0.000)
Pd (0.386, 0.114, 0.000)
Pd (0.614, 0.886, 0.000)
Pd (0.886, 0.386, 0.000)
Pt (0.000, 0.000, 0.000)
Pt (0.500, 0.500, 0.000)

## Properties
Formation energy ... -712 meV per atom

***

The following is a PBE-GGA calculation of crystalline RbSiI2 at its relaxed geometry, from the Alexandria database.

Cell lengths 10.016, 10.016, 10.016 Å; angles 139.36, 139.36, 58.82 degrees
Positions (direct):
Rb (0.000, 0.000, 0.000)
Rb (0.750, 0.250, 0.500)
Si (0.250, 0.750, 0.500)
Si (0.500, 0.500, 0.000)
I (0.220, 0.625, 0.095)
I (0.375, 0.470, 0.595)
I (0.530, 0.125, 0.905)
I (0.875, 0.780, 0.405)

## Properties
E_form (uncorrected) ... -0.2292 eV/atom

***

The following is a PBE-GGA calculation of crystalline Sc2CdHg6 at its relaxed geometry, from the Alexandria database.

Cell lengths 6.944, 6.944, 5.302 Å; angles 111.47, 111.47, 71.18 degrees
Positions (direct):
Sc (0.174, 0.174, 0.175)
Sc (0.826, 0.826, 0.825)
Cd (0.500, 0.500, 0.500)
Hg (0.007, 0.644, 0.325)
Hg (0.304, 0.696, 0.000)
Hg (0.356, 0.993, 0.675)
Hg (0.644, 0.007, 0.325)
Hg (0.696, 0.304, 0.000)
Hg (0.993, 0.356, 0.675)

## Properties
Formation energy ... -108 meV per atom
Distance to the lowest polymorph of the same formula ... 51 meV/atom

***

The following is a PBE-GGA calculation of crystalline Dy2Ga4Cu5 at its relaxed geometry, from the Alexandria database.

Cell lengths 8.706, 7.874, 5.386 Å; angles 79.67, 62.84, 37.49 degrees
Positions (direct):
Dy (0.138, 0.138, 0.862)
Dy (0.862, 0.862, 0.138)
Ga (0.218, 0.519, 0.481)
Ga (0.481, 0.782, 0.218)
Ga (0.519, 0.218, 0.782)
Ga (0.782, 0.481, 0.519)
Cu (0.000, 0.000, 0.500)
Cu (0.250, 0.250, 0.250)
Cu (0.500, 0.500, 0.000)
Cu (0.500, 0.500, 0.500)
Cu (0.750, 0.750, 0.750)

## Properties
Formation energy ... -298 meV per atom

***

The following is a PBE-GGA calculation of crystalline Ca2Y4Ho at its relaxed geometry, from the Alexandria database.

Cell lengths 18.759, 18.759, 3.588 Å; angles 90.00, 90.00, 168.87 degrees
Positions (direct):
Ca (0.206, 0.794, 0.000)
Ca (0.794, 0.206, 0.000)
Y (0.067, 0.933, 0.000)
Y (0.368, 0.632, 0.500)
Y (0.632, 0.368, 0.500)
Y (0.933, 0.067, 0.000)
Ho (0.500, 0.500, 0.500)

## Properties
Formation energy ... 71 meV per atom

***

The following is a PBE-GGA calculation of crystalline SiTcAs2 at its relaxed geometry, from the Alexandria database.

Cell lengths 8.821, 8.821, 8.821 Å; angles 19.81, 19.81, 19.81 degrees
Positions (direct):
Si (0.000, 0.000, 0.000)
Tc (0.500, 0.500, 0.500)
As (0.238, 0.238, 0.238)
As (0.762, 0.762, 0.762)

## Properties
E_form (uncorrected) ... 0.1784 eV/atom

***

The following is a PBE-GGA calculation of crystalline CuSbCl at its relaxed geometry, from the Alexandria database.

Cell lengths 4.619, 4.619, 4.619 Å; angles 60.00, 60.00, 60.00 degrees
Positions (direct):
Cu (0.000, 0.000, 0.000)
Sb (0.750, 0.750, 0.750)
Cl (0.250, 0.250, 0.250)

## Properties
E_form (uncorrected) ... 0.3850 eV/atom
Distance to the lowest polymorph of the same formula ... 556 meV/atom

***

The following is a PBE-GGA calculation of crystalline Tb2Pm4PrTm at its relaxed geometry, from the Alexandria database.

Cell lengths 6.249, 3.626, 11.970 Å; angles 90.00, 100.19, 90.00 degrees
Positions (direct):
Tb (0.000, 0.000, 0.000)
Tb (0.000, 0.500, 0.500)
Pm (0.249, 0.000, 0.747)
Pm (0.250, 0.500, 0.253)
Pm (0.750, 0.500, 0.747)
Pm (0.751, 0.000, 0.253)
Pr (0.500, 0.500, 0.000)
Tm (0.500, 0.000, 0.500)

## Properties
Formation energy ... 18 meV per atom

***

The following is a PBE-GGA calculation of crystalline CaAu2 at its relaxed geometry, from the Alexandria database.

Cell lengths 6.006, 6.006, 6.006 Å; angles 135.57, 106.85, 89.77 degrees
Positions (direct):
Ca (0.293, 0.043, 0.250)
Ca (0.707, 0.957, 0.750)
Au (0.119, 0.658, 0.461)
Au (0.303, 0.342, 0.961)
Au (0.697, 0.658, 0.039)
Au (0.881, 0.342, 0.539)

## Properties
Formation energy ... -710 meV per atom

***

The following is a PBE-GGA calculation of crystalline CaSc2S4 at its relaxed geometry, from the Alexandria database.

Cell lengths 11.561, 3.744, 13.528 Å; angles 90.00, 90.00, 90.00 degrees
Positions (direct):
Ca (0.240, 0.250, 0.167)
Ca (0.260, 0.750, 0.667)
Ca (0.740, 0.250, 0.333)
Ca (0.760, 0.750, 0.833)
Sc (0.058, 0.250, 0.388)
Sc (0.085, 0.250, 0.903)
Sc (0.415, 0.750, 0.403)
Sc (0.442, 0.750, 0.888)
Sc (0.558, 0.250, 0.112)
Sc (0.585, 0.250, 0.597)
Sc (0.915, 0.750, 0.097)
Sc (0.942, 0.750, 0.612)
S (0.033, 0.750, 0.785)
S (0.091, 0.250, 0.575)
S (0.126, 0.750, 0.033)
S (0.202, 0.750, 0.331)
S (0.298, 0.250, 0.831)
S (0.374, 0.250, 0.533)
S (0.409, 0.750, 0.075)
S (0.467, 0.250, 0.285)
S (0.533, 0.750, 0.715)
S (0.591, 0.250, 0.925)
S (0.626, 0.750, 0.467)
S (0.702, 0.750, 0.169)
S (0.798, 0.250, 0.669)
S (0.874, 0.250, 0.967)
S (0.909, 0.750, 0.425)
S (0.967, 0.250, 0.215)

## Properties
E_form (uncorrected) ... -1.9822 eV/atom
Distance to the lowest polymorph of the same formula ... 0 meV/atom

***

The following is a PBE-GGA calculation of crystalline Pa2Zn16Sn at its relaxed geometry, from the Alexandria database.

Cell lengths 6.863, 6.863, 6.863 Å; angles 83.62, 83.62, 83.62 degrees
Positions (direct):
Pa (0.000, 0.000, 0.000)
Pa (0.322, 0.322, 0.322)
Zn (0.012, 0.012, 0.498)
Zn (0.012, 0.498, 0.012)
Zn (0.148, 0.672, 0.672)
Zn (0.307, 0.307, 0.838)
Zn (0.307, 0.838, 0.307)
Zn (0.353, 0.662, 0.974)
Zn (0.353, 0.974, 0.662)
Zn (0.498, 0.012, 0.012)
Zn (0.662, 0.353, 0.974)
Zn (0.662, 0.974, 0.353)
Zn (0.672, 0.148, 0.672)
Zn (0.672, 0.672, 0.148)
Zn (0.768, 0.768, 0.768)
Zn (0.838, 0.307, 0.307)
Zn (0.974, 0.353, 0.662)
Zn (0.974, 0.662, 0.353)
Sn (0.562, 0.562, 0.562)

## Properties
Formation energy ... -96 meV per atom

***

The following is a PBE-GGA calculation of crystalline ZrZn2Os2 at its relaxed geometry, from the Alexandria database.

Cell lengths 7.181, 7.181, 7.181 Å; angles 151.73, 151.73, 40.41 degrees
Positions (direct):
Zr (0.000, 0.000, 0.000)
Zn (0.250, 0.750, 0.500)
Zn (0.750, 0.250, 0.500)
Os (0.397, 0.397, 0.000)
Os (0.603, 0.603, 0.000)

## Properties
Formation energy ... 201 meV per atom

***

The following is a PBE-GGA calculation of crystalline CsOF3 at its relaxed geometry, from the Alexandria database.

Cell lengths 5.097, 6.133, 7.659 Å; angles 67.27, 88.73, 81.70 degrees
Positions (direct):
Cs (0.000, 0.000, 0.000)
Cs (0.387, 0.305, 0.387)
O (0.539, 0.542, 0.826)
O (0.653, 0.647, 0.896)
F (0.252, 0.482, 0.937)
F (0.493, 0.886, 0.255)
F (0.516, 0.978, 0.779)
F (0.711, 0.665, 0.429)
F (0.852, 0.404, 0.128)
F (0.915, 0.438, 0.600)

## Properties
E_form (uncorrected) ... -1.2167 eV/atom
Distance to the lowest polymorph of the same formula ... 2 meV/atom

***

The following is a PBE-GGA calculation of crystalline TaVTe2H at its relaxed geometry, from the Alexandria database.

Cell lengths 4.882, 4.882, 3.543 Å; angles 90.00, 90.00, 90.00 degrees
Positions (direct):
Ta (0.000, 0.000, 0.000)
V (0.500, 0.500, 0.000)
Te (0.000, 0.500, 0.500)
Te (0.500, 0.000, 0.500)
H (0.000, 0.000, 0.500)

## Properties
DFT total energy ... -5.832 eV/atom